GGA+U K2CoPbO5, relaxed; space group = No. 36; crystal system = orthorhombic; E_tot = -89.871 eV/cell
1.0
1.721 -7.720 0.000
1.721 7.720 0.000
0.000 0.000 12.187
K Co Pb O
4 2 2 10
direct
0.065 0.935 0.500 K
0.138 0.862 0.202 K
0.862 0.138 0.702 K
0.935 0.065 0.000 K
0.427 0.573 0.275 Co
0.573 0.427 0.775 Co
0.217 0.783 0.913 Pb
0.783 0.217 0.413 Pb
0.066 0.934 0.835 O
0.310 0.690 0.286 O
0.313 0.687 0.520 O
0.348 0.652 0.881 O
0.492 0.508 0.165 O
0.508 0.492 0.665 O
0.652 0.348 0.381 O
0.687 0.313 0.020 O
0.690 0.310 0.786 O
0.934 0.066 0.335 O